# PBE La4PmDy4, relaxed
# * formation energy: 224 meV/atom
# * total moment: 0.000 μB/f.u.
# * D(E_F): 51.0 states/eV/cell
# * E: -163.4 eV/cell
data_La4PmDy4
_cell_length_a 8.0402
_cell_length_b 11.0777
_cell_length_c 14.5375
_cell_angle_alpha 90.00
_cell_angle_beta 90.00
_cell_angle_gamma 90.00
_symmetry_space_group_name_H-M 'F m m 2'
_symmetry_Int_Tables_number 42
_symmetry_space_group_name_Hall 'F 2 -2'
loop_
_atom_site_label
_atom_site_fract_x
_atom_site_fract_y
_atom_site_fract_z
_atom_site_occupancy
La1 0.0000 0.0000 0.0000 1
La2 0.0000 0.0000 0.3427 1
La3 0.2500 0.2500 0.4258 1
Pm1 0.0000 0.0000 0.7977 1
Dy1 0.0000 0.2323 0.1723 1
Dy2 0.1975 0.0000 0.6095 1